No. 1
# Rb2Ag2I PBE optimized geometry
data_Rb2Ag2I
_chemical_formula_sum 'Rb4 Ag4 I2'
_symmetry_space_group_name_H-M 'P 1'
_symmetry_Int_Tables_number 1
_cell_length_a 9.952
_cell_length_b 9.952
_cell_length_c 4.652
_cell_angle_alpha 90.00
_cell_angle_beta 90.00
_cell_angle_gamma 90.00
loop_
_symmetry_equiv_pos_as_xyz
'x,y,z'
loop_
_atom_site_label
_atom_site_fract_x
_atom_site_fract_y
_atom_site_fract_z
_atom_site_occupancy
I1 0.000 0.000 0.000 1
I2 0.500 0.500 0.000 1
Rb1 0.309 0.809 0.000 1
Rb2 0.809 0.691 0.000 1
Rb3 0.691 0.191 0.000 1
Rb4 0.191 0.309 0.000 1
Ag1 0.096 0.596 0.500 1
Ag2 0.596 0.904 0.500 1
Ag3 0.904 0.404 0.500 1
Ag4 0.404 0.096 0.500 1
# D(E_F) (states/eV/cell): 4.936
# Energy relative to the elements, uncorrected (eV/atom): -0.203
# E_tot (eV/cell): -20.41
# Symmetry: P4/mbm
# Energy above the most stable polymorph in this dataset (meV/atom): 46
# Magnetic moment (μB per cell): 0.0

=====

No. 2
# Pa2Co2Sb PBE optimized geometry
data_Pa2Co2Sb
_chemical_formula_sum 'Pa2 Co2 Sb1'
_symmetry_space_group_name_H-M 'P 1'
_symmetry_Int_Tables_number 1
_cell_length_a 4.296
_cell_length_b 5.263
_cell_length_c 5.263
_cell_angle_alpha 65.68
_cell_angle_beta 65.91
_cell_angle_gamma 65.91
loop_
_symmetry_equiv_pos_as_xyz
'x,y,z'
loop_
_atom_site_label
_atom_site_fract_x
_atom_site_fract_y
_atom_site_fract_z
_atom_site_occupancy
Pa1 0.807 0.693 0.693 1
Pa2 0.193 0.307 0.307 1
Co1 0.500 0.275 0.725 1
Co2 0.500 0.725 0.275 1
Sb1 0.000 0.000 0.000 1
# D(E_F) (states/eV/cell): 7.441
# Energy relative to the elements, uncorrected (eV/atom): -0.406
# E_tot (eV/cell): -39.36
# Symmetry: Immm
# Energy above the most stable polymorph in this dataset (meV/atom): 142
# Magnetic moment (μB per cell): 0.0

=====

No. 3
# AlAgPCl2 PBE optimized geometry
data_AlAgPCl2
_chemical_formula_sum 'Al1 Ag1 P1 Cl2'
_symmetry_space_group_name_H-M 'P 1'
_symmetry_Int_Tables_number 1
_cell_length_a 5.250
_cell_length_b 5.250
_cell_length_c 4.869
_cell_angle_alpha 90.00
_cell_angle_beta 90.00
_cell_angle_gamma 90.00
loop_
_symmetry_equiv_pos_as_xyz
'x,y,z'
loop_
_atom_site_label
_atom_site_fract_x
_atom_site_fract_y
_atom_site_fract_z
_atom_site_occupancy
P1 0.000 0.000 0.500 1
Al1 0.500 0.500 0.500 1
Ag1 0.000 0.000 0.000 1
Cl1 0.000 0.500 0.000 1
Cl2 0.500 0.000 0.000 1
# D(E_F) (states/eV/cell): 2.182
# Energy relative to the elements, uncorrected (eV/atom): 0.348
# E_tot (eV/cell): -13.96
# Symmetry: P4/mmm
# Energy above the most stable polymorph in this dataset (meV/atom): 461
# Magnetic moment (μB per cell): 2.2

=====

No. 4
# Ag2SbSe PBE optimized geometry
data_Ag2SbSe
_chemical_formula_sum 'Ag2 Sb1 Se1'
_symmetry_space_group_name_H-M 'P 1'
_symmetry_Int_Tables_number 1
_cell_length_a 3.021
_cell_length_b 3.021
_cell_length_c 9.659
_cell_angle_alpha 90.00
_cell_angle_beta 90.00
_cell_angle_gamma 89.87
loop_
_symmetry_equiv_pos_as_xyz
'x,y,z'
loop_
_atom_site_label
_atom_site_fract_x
_atom_site_fract_y
_atom_site_fract_z
_atom_site_occupancy
Ag1 0.000 0.000 0.014 1
Ag2 0.500 0.500 0.226 1
Sb1 0.000 0.000 0.462 1
Se1 0.500 0.500 0.799 1
# D(E_F) (states/eV/cell): 1.488
# Energy relative to the elements, uncorrected (eV/atom): 0.143
# E_tot (eV/cell): -12.74
# Symmetry: Cmm2
# Magnetic moment (μB per cell): 0.0

=====

No. 5
# HoAl6Cu6 PBE optimized geometry
data_HoAl6Cu6
_chemical_formula_sum 'Ho1 Al6 Cu6'
_symmetry_space_group_name_H-M 'P 1'
_symmetry_Int_Tables_number 1
_cell_length_a 5.097
_cell_length_b 6.616
_cell_length_c 6.616
_cell_angle_alpha 80.74
_cell_angle_beta 67.35
_cell_angle_gamma 67.35
loop_
_symmetry_equiv_pos_as_xyz
'x,y,z'
loop_
_atom_site_label
_atom_site_fract_x
_atom_site_fract_y
_atom_site_fract_z
_atom_site_occupancy
Ho1 0.000 0.000 0.000 1
Al1 0.348 0.652 0.652 1
Al2 0.652 0.348 0.348 1
Al3 0.000 0.346 0.654 1
Al4 0.000 0.654 0.346 1
Al5 0.300 0.200 0.200 1
Al6 0.700 0.800 0.800 1
Cu1 0.000 0.500 0.000 1
Cu2 0.500 0.500 0.000 1
Cu3 0.000 0.000 0.500 1
Cu4 0.500 0.000 0.500 1
Cu5 0.500 0.769 0.231 1
Cu6 0.500 0.231 0.769 1
# D(E_F) (states/eV/cell): 3.203
# E_tot (eV/cell): -56.30
# Symmetry: Immm
# Magnetic moment (μB per cell): 0.0
# Energy of formation (eV per atom): -0.361

=====

No. 6
# FeMoSe4 PBE optimized geometry
data_FeMoSe4
_chemical_formula_sum 'Fe1 Mo1 Se4'
_symmetry_space_group_name_H-M 'P 1'
_symmetry_Int_Tables_number 1
_cell_length_a 5.594
_cell_length_b 5.594
_cell_length_c 5.594
_cell_angle_alpha 60.00
_cell_angle_beta 60.00
_cell_angle_gamma 60.00
loop_
_symmetry_equiv_pos_as_xyz
'x,y,z'
loop_
_atom_site_label
_atom_site_fract_x
_atom_site_fract_y
_atom_site_fract_z
_atom_site_occupancy
Fe1 0.750 0.750 0.750 1
Mo1 0.000 0.000 0.000 1
Se1 0.875 0.375 0.375 1
Se2 0.375 0.375 0.875 1
Se3 0.375 0.875 0.375 1
Se4 0.375 0.375 0.375 1
# D(E_F) (states/eV/cell): 8.266
# Energy relative to the elements, uncorrected (eV/atom): 1.263
# E_tot (eV/cell): -25.65
# Symmetry: F-43m
# Magnetic moment (μB per cell): 7.2

=====

No. 7
# LiVBr6 PBE optimized geometry
data_LiVBr6
_chemical_formula_sum 'Li1 V1 Br6'
_symmetry_space_group_name_H-M 'P 1'
_symmetry_Int_Tables_number 1
_cell_length_a 6.304
_cell_length_b 8.106
_cell_length_c 8.106
_cell_angle_alpha 66.47
_cell_angle_beta 74.98
_cell_angle_gamma 105.02
loop_
_symmetry_equiv_pos_as_xyz
'x,y,z'
loop_
_atom_site_label
_atom_site_fract_x
_atom_site_fract_y
_atom_site_fract_z
_atom_site_occupancy
Li1 0.500 0.000 0.000 1
V1 0.000 0.000 0.000 1
Br1 0.140 0.744 0.000 1
Br2 0.396 0.256 0.744 1
Br3 0.860 0.256 0.000 1
Br4 0.860 0.000 0.744 1
Br5 0.604 0.744 0.256 1
Br6 0.140 0.000 0.256 1
# Energy relative to the elements, uncorrected (eV/atom): -0.799
# E_tot (eV/cell): -27.46
# Symmetry: R-3m
# Energy above the most stable polymorph in this dataset (meV/atom): 0
# Magnetic moment (μB per cell): 0.0

=====

No. 8
# TbDy6In5 PBE optimized geometry
data_TbDy6In5
_chemical_formula_sum 'Tb1 Dy6 In5'
_symmetry_space_group_name_H-M 'P 1'
_symmetry_Int_Tables_number 1
_cell_length_a 4.969
_cell_length_b 8.809
_cell_length_c 9.056
_cell_angle_alpha 119.10
_cell_angle_beta 105.92
_cell_angle_gamma 90.00
loop_
_symmetry_equiv_pos_as_xyz
'x,y,z'
loop_
_atom_site_label
_atom_site_fract_x
_atom_site_fract_y
_atom_site_fract_z
_atom_site_occupancy
In1 0.652 0.152 0.304 1
In2 0.323 0.323 0.647 1
In3 0.000 0.500 0.000 1
In4 0.677 0.677 0.353 1
In5 0.348 0.848 0.696 1
Tb1 0.000 0.000 0.000 1
Dy1 0.830 0.567 0.660 1
Dy2 0.830 0.093 0.660 1
Dy3 0.500 0.729 0.000 1
Dy4 0.500 0.271 0.000 1
Dy5 0.170 0.907 0.340 1
Dy6 0.170 0.433 0.340 1
# D(E_F) (states/eV/cell): 12.067
# E_tot (eV/cell): -50.54
# Symmetry: Immm
# Magnetic moment (μB per cell): 0.0
# Energy of formation (eV per atom): -0.384